Here is an optimized crystal structure of Sc12Fe3H5 from the Alexandria database. Energies are from PBE.

Output
Space group ... Ia-3d, No. 230
E ... -6.1115 eV per atom

extended XYZ file:
```
80
Lattice="-6.889 6.889 6.889 6.889 -6.889 6.889 6.889 6.889 -6.889" Properties=species:S:1:pos:R:3 pbc="T T T"
Sc 2.153 -0.443 0.846
Sc 8.179 4.290 -3.887
Sc 9.042 0.443 0.846
Sc 8.179 -2.598 3.887
Sc 6.446 -0.846 2.153
Sc 10.776 -1.291 2.598
Sc 0.846 2.153 -0.443
Sc 9.487 3.002 -1.291
Sc 4.290 3.887 -1.291
Sc 6.043 2.153 0.443
Sc -0.443 0.846 2.153
Sc 3.887 -1.291 4.290
Sc 6.446 6.043 -2.153
Sc 3.887 1.291 2.598
Sc 4.290 -3.887 8.179
Sc 6.043 -2.153 6.446
Sc 2.598 3.887 1.291
Sc 7.734 4.735 0.443
Sc 3.887 8.179 -2.598
Sc 6.446 0.846 4.735
Sc 2.153 6.446 -0.846
Sc 8.179 2.598 3.002
Sc 1.291 2.598 3.887
Sc 2.153 0.443 6.043
Sc 4.735 6.446 0.846
Sc 5.598 4.290 3.002
Sc -1.291 4.290 3.887
Sc 4.735 0.443 7.734
Sc 0.443 6.043 2.153
Sc 3.002 -1.291 9.487
Sc -0.846 2.153 6.446
Sc 4.290 3.002 5.598
Sc 0.846 9.042 0.443
Sc 2.598 10.776 -1.291
Sc 3.002 5.598 4.290
Sc 0.443 0.846 9.042
Sc 3.002 8.179 2.598
Sc 7.331 6.043 4.735
Sc 0.846 4.735 6.446
Sc 2.598 3.002 8.179
Sc -2.598 3.887 8.179
Sc 6.043 4.735 7.331
Sc -3.887 8.179 4.290
Sc 0.443 7.734 4.735
Sc -1.291 9.487 3.002
Sc -2.153 6.446 6.043
Sc -1.291 2.598 10.776
Sc 4.735 7.331 6.043
Fe 3.444 1.722 0.000
Fe 6.889 3.444 -1.722
Fe 1.722 0.000 3.444
Fe 8.611 0.000 3.444
Fe 0.000 3.444 1.722
Fe 3.444 -1.722 6.889
Fe 3.444 8.611 0.000
Fe 6.889 3.444 5.166
Fe -1.722 6.889 3.444
Fe 5.166 6.889 3.444
Fe 0.000 3.444 8.611
Fe 3.444 5.166 6.889
H 0.000 0.000 0.000
H 3.444 3.444 -3.444
H 3.444 -3.444 3.444
H 6.889 0.000 0.000
H 10.333 1.722 0.000
H 6.889 -3.444 5.166
H 5.166 6.889 -3.444
H 5.166 0.000 3.444
H 3.444 5.166 0.000
H 6.889 3.444 1.722
H -3.444 3.444 3.444
H 0.000 6.889 0.000
H 0.000 0.000 6.889
H 3.444 3.444 3.444
H 0.000 3.444 5.166
H 3.444 1.722 6.889
H 1.722 6.889 3.444
H 1.722 0.000 10.333
H 0.000 10.333 1.722
H -3.444 5.166 6.889
```

***

Here is an optimized crystal structure of Pu3Mg from the Alexandria database. Energies are from PBE.

Output
Formation energy ... 26 kJ/mol of atoms
Space group ... P6_3/mmc, No. 194
Energy above the most stable polymorph in this dataset ... 17 meV per atom

extended XYZ file:
```
8
Lattice="6.714 0.000 0.000 -3.357 5.814 0.000 0.000 0.000 5.438" Properties=species:S:1:pos:R:3 pbc="T T T"
Pu 0.000 1.948 1.360
Pu -1.670 4.841 1.360
Pu 1.687 0.974 4.079
Pu 1.670 4.841 1.360
Pu 5.027 0.974 4.079
Pu 3.357 3.867 4.079
Mg 0.000 3.876 4.079
Mg 3.357 1.938 1.360
```